An optimized crystal structure of Ta2TlTc, computed with PBE. Values from VASP.

Quantum ESPRESSO input file:
```
&SYSTEM
  ibrav = 0, nat = 4, ntyp = 3
/
ATOMIC_SPECIES
Ta 180.95 Ta.upf
Tl 204.38 Tl.upf
Tc 98.00 Tc.upf
CELL_PARAMETERS angstrom
1.5510 0.8955 9.1388
-1.5510 0.8955 9.1388
0.0000 -1.7909 9.1388
ATOMIC_POSITIONS crystal
Ta 0.0000 0.0000 0.0000
Ta 0.2500 0.2500 0.2500
Tl 0.4909 0.4909 0.4909
Tc 0.7373 0.7373 0.7373
```

Computed properties:
The space group is R3m. Its energy relative to the lowest polymorph listed for this composition is 167 meV/atom. The value obtained for the formation energy is 132 kJ/mol of formula units. The volume comes out at 19.038 Å³/atom. The calculation puts the size of the total moment at 0.000 Bohr magnetons per cell.